Record 1
VASP calculation (PBE-GGA) on a relaxed Zr2SeS2 crystal.

The calculation puts the relative energy among the computed polymorphs at 15.3 kJ per mole of atoms.

It has space group P4/mbm (No. 127), with a = 7.3170 Å, b = 7.3170 Å, c = 3.4565 Å, α = 90.00°, β = 90.00° and γ = 90.00°. The inequivalent atoms are Zr at (0.1517, 0.3483, 0.0000), Se at (0.0000, 0.0000, 0.0000) and S at (0.1362, 0.6362, 0.5000).

---

Record 2
VASP calculation (PBE-GGA) on a relaxed Zr2Se2S crystal.

The calculation puts the relative energy among the computed polymorphs at 74.2 kJ per mole of atoms.

It has space group I4/mmm (No. 139), with a = 4.3686 Å, b = 4.3686 Å, c = 12.2657 Å, α = 90.00°, β = 90.00° and γ = 90.00°. The inequivalent atoms are Zr at (0.0000, 0.0000, 0.1231), Se at (0.0000, 0.5000, 0.2500) and S at (0.0000, 0.0000, 0.5000).

---

Record 3
VASP calculation (PBE-GGA) on a relaxed Zr4Se3S4 crystal.

It has space group Immm (No. 71), with a = 3.5976 Å, b = 7.6611 Å, c = 15.5767 Å, α = 90.00°, β = 90.00° and γ = 90.00°. The inequivalent atoms are Zr at (0.0000, 0.0000, 0.2490), Zr at (0.0000, 0.2196, 0.5000), Se at (0.0000, 0.0000, 0.0000), Se at (0.0000, 0.5000, 0.0955) and S at (0.0000, 0.3053, 0.3292).

---

Record 4
VASP calculation (PBE-GGA) on a relaxed ZrSeS3 crystal.

The calculation puts the relative energy among the computed polymorphs at 0.0 kJ per mole of atoms.

It has space group Pm-3m (No. 221), with a = 4.9934 Å, b = 4.9934 Å, c = 4.9934 Å, α = 90.00°, β = 90.00° and γ = 90.00°. The inequivalent atoms are Zr at (0.0000, 0.0000, 0.0000), Se at (0.5000, 0.5000, 0.5000) and S at (0.0000, 0.0000, 0.5000).

---

Record 5
VASP calculation (PBE-GGA) on a relaxed ZrSe2S crystal.

It has space group R-3m (No. 166, hexagonal axes), with a = 3.7483 Å, b = 3.7483 Å, c = 24.3926 Å, α = 90.00°, β = 90.00° and γ = 120.00°. The inequivalent atoms are Zr at (0.0000, 0.0000, 0.0000), Se at (0.0000, 0.0000, 0.4008) and S at (0.0000, 0.0000, 0.5000).

---

Record 6
VASP calculation (PBE-GGA) on a relaxed ZrSeS3 crystal.

The calculation puts the relative energy among the computed polymorphs at 36.5 kJ per mole of atoms.

It has space group Pm-3m (No. 221), with a = 4.6744 Å, b = 4.6744 Å, c = 4.6744 Å, α = 90.00°, β = 90.00° and γ = 90.00°. The inequivalent atoms are Zr at (0.0000, 0.0000, 0.0000), Se at (0.5000, 0.5000, 0.5000) and S at (0.0000, 0.5000, 0.5000).

---

Record 7
VASP calculation (PBE-GGA) on a relaxed Zr2Se2S crystal.

The calculation puts the relative energy among the computed polymorphs at 1.9 kJ per mole of atoms.

It has space group C2/c (No. 15), with a = 6.4804 Å, b = 11.3873 Å, c = 6.4630 Å, α = 90.00°, β = 109.12° and γ = 90.00°. The inequivalent atoms are Zr at (0.2340, 0.0768, 0.0045), Se at (0.0000, 0.2519, 0.7500), Se at (0.0000, 0.4055, 0.2500) and S at (0.0000, 0.0876, 0.2500).

---

Record 8
VASP calculation (PBE-GGA) on a relaxed Zr2SeS crystal.

The calculation puts the relative energy among the computed polymorphs at 4.5 kJ per mole of atoms.

It has space group R-3m (No. 166, hexagonal axes), with a = 3.7849 Å, b = 3.7849 Å, c = 19.0706 Å, α = 90.00°, β = 90.00° and γ = 120.00°. The inequivalent atoms are Zr at (0.0000, 0.0000, 0.2336), Se at (0.0000, 0.0000, 0.0000) and S at (0.0000, 0.0000, 0.5000).

---

Quick rundown of calculated total energy, same order as above: -71.03 -62.87 -152.25 -24.82 -65.62 -22.94 -140.73 -89.41 eV for the cell shown